The following is a DFT calculation (PBE-GGA) of a relaxed PIrAuO crystal.

uncorrected energy = -44.193 eV/cell
E above lowest polymorph = 340 meV per atom

a = 4.002 Å, b = 4.002 Å, c = 7.679 Å
α = 90.00°, β = 90.00°, γ = 90.00°
Space group P4/nmm (No. 129, origin choice 2)
Symmetry-distinct sites (fractional):
P 0.250 0.250 0.166 x2
Ir 0.250 0.750 0.000 x2
Au 0.250 0.250 0.616 x2
O 0.250 0.750 0.500 x2